Entry 1:
AsOF2: optimized geometry, PBE-GGA.

Calculated values
ΔE_f (raw)   -624 kJ/mol of formula units
Total DFT energy (no corrections)   -4.955 eV per atom
Magnetic moment   0.000 μB/atom

Lattice parameters (Å, degrees): 3.497 4.612 4.612 70.67 88.73 88.73
Element x y z (fractional)
As 0.500 0.429 0.571
O 0.000 0.320 0.680
F 0.509 0.485 0.173
F 0.491 0.827 0.515

---

Entry 2:
BaCuOs2: optimized geometry, PBE-GGA.

Calculated values
ΔH_f (0 K)   1.385 eV per atom
Total DFT energy (no corrections)   -5.735 eV per atom
Magnetic moment   0.000 μB/atom

Lattice parameters (Å, degrees): 6.006 6.006 6.006 142.49 142.49 54.10
Element x y z (fractional)
Ba 0.250 0.750 0.500
Cu 0.750 0.250 0.500
Os 0.000 0.000 0.000
Os 0.500 0.500 0.000

---

Q: Look up the magnetic moment of the second one.
A: 0.000 μB/atom

---

Q: Number 1 is which compound?
A: AsOF2